## A
Compound: TcSbI2F
Source: Alexandria via LeMat-Bulk
Functional: SCAN
Structure: single point on PBEsol structure

Properties
Total magnetic moment ... 0.484 μB per atom
Volume ... 141.59 Å³ per cell

a = 5.2831 Å, b = 5.2831 Å, c = 5.0728 Å
α = 90.00°, β = 90.00°, γ = 90.00°
Last column: nearest neighbours and their distance in Å.
Space group P4/mmm (No. 123)
Unique sites:
Tc1 0.0000 0.0000 0.0000 [1 per cell]  2 Sb 2.54, 4 I 2.64
Sb1 0.0000 0.0000 0.5000 [1 per cell]  2 Tc 2.54
I1 0.0000 0.5000 0.0000 [2 per cell]  2 Tc 2.64
F1 0.5000 0.5000 0.5000 [1 per cell]  8 I 3.66, 4 Sb 3.74


## B
Compound: TcSbI2F
Source: Alexandria via LeMat-Bulk
Functional: SCAN
Structure: single point on PBEsol structure

Properties
Total magnetic moment ... 0.457 μB per atom
Volume ... 118.42 Å³ per cell

a = 5.4281 Å, b = 5.4281 Å, c = 4.0191 Å
α = 90.00°, β = 90.00°, γ = 90.00°
Last column: nearest neighbours and their distance in Å.
Space group P4/mmm (No. 123)
Unique sites:
Tc1 0.0000 0.0000 0.0000 [1 per cell]  2 F 2.01
Sb1 0.5000 0.5000 0.5000 [1 per cell]  8 I 3.38
I1 0.0000 0.5000 0.0000 [2 per cell]  2 Tc 2.71
F1 0.0000 0.0000 0.5000 [1 per cell]  2 Tc 2.01


Which structure wins on stability? B wins.


## A
Compound: ZrIF2
Source: Alexandria via LeMat-Bulk
Functional: SCAN
Structure: single point on PBEsol structure

Properties
Total magnetic moment ... 0.000 μB per atom
Volume ... 253.85 Å³ per cell

a = 3.0835 Å, b = 3.0835 Å, c = 30.8291 Å
α = 90.00°, β = 90.00°, γ = 120.00°
Last column: nearest neighbours and their distance in Å.
Space group R-3m (No. 166, hexagonal axes)
Unique sites:
Zr1 0.0000 0.0000 0.0000 [3 per cell]  6 F 2.28
I1 0.0000 0.0000 0.5000 [3 per cell]  6 I 3.08
F1 0.0000 0.0000 0.3796 [6 per cell]  3 Zr 2.28


## B
Compound: ZrIF2
Source: Alexandria via LeMat-Bulk
Functional: SCAN
Structure: single point on PBEsol structure

Properties
Total magnetic moment ... 0.000 μB per atom
Volume ... 250.03 Å³ per cell

a = 6.2999 Å, b = 6.2999 Å, c = 6.2999 Å
α = 90.00°, β = 90.00°, γ = 90.00°
Last column: nearest neighbours and their distance in Å.
Space group Fm-3m (No. 225)
Unique sites:
Zr1 0.0000 0.0000 0.0000 [4 per cell]  8 F 2.73
I1 0.0000 0.0000 0.5000 [4 per cell]  8 F 2.73
F1 0.2500 0.2500 0.2500 [8 per cell]  4 Zr 2.73, 4 I 2.73


Which structure wins on stability? A wins.


## A
Compound: ReIrN2F
Source: Alexandria via LeMat-Bulk
Functional: SCAN
Structure: single point on PBEsol structure

Properties
Total magnetic moment ... 0.377 μB per atom
Volume ... 58.62 Å³ per cell

a = 3.8927 Å, b = 3.8927 Å, c = 3.8685 Å
α = 90.00°, β = 90.00°, γ = 90.00°
Last column: nearest neighbours and their distance in Å.
Space group P4/mmm (No. 123)
Unique sites:
Re1 0.0000 0.0000 0.0000 [1 per cell]  2 F 1.93, 4 N 1.95
Ir1 0.5000 0.5000 0.5000 [1 per cell]  8 N 2.74, 4 F 2.75
N1 0.0000 0.5000 0.0000 [2 per cell]  2 Re 1.95
F1 0.0000 0.0000 0.5000 [1 per cell]  2 Re 1.93


## B
Compound: ReIrN2F
Source: Alexandria via LeMat-Bulk
Functional: SCAN
Structure: single point on PBEsol structure

Properties
Total magnetic moment ... 0.604 μB per atom
Volume ... 60.94 Å³ per cell

a = 3.8776 Å, b = 3.8776 Å, c = 4.0533 Å
α = 90.00°, β = 90.00°, γ = 90.00°
Last column: nearest neighbours and their distance in Å.
Space group P4/mmm (No. 123)
Unique sites:
Re1 0.0000 0.0000 0.0000 [1 per cell]  4 F 2.74, 8 N 2.80
Ir1 0.5000 0.5000 0.5000 [1 per cell]  4 N 1.94, 2 F 2.03
N1 0.0000 0.5000 0.5000 [2 per cell]  2 Ir 1.94
F1 0.5000 0.5000 0.0000 [1 per cell]  2 Ir 2.03


Which structure wins on stability? A wins.


## A
Compound: SbIrNF2
Source: Alexandria via LeMat-Bulk
Functional: SCAN
Structure: single point on PBEsol structure

Properties
Total magnetic moment ... 0.364 μB per atom
Volume ... 73.82 Å³ per cell

a = 4.1471 Å, b = 4.1471 Å, c = 4.2920 Å
α = 90.00°, β = 90.00°, γ = 90.00°
Last column: nearest neighbours and their distance in Å.
Space group P4/mmm (No. 123)
Unique sites:
Sb1 0.0000 0.0000 0.0000 [1 per cell]  4 F 2.07, 2 N 2.15
Ir1 0.5000 0.5000 0.5000 [1 per cell]  4 N 2.93, 8 F 2.98
N1 0.0000 0.0000 0.5000 [1 per cell]  2 Sb 2.15
F1 0.0000 0.5000 0.0000 [2 per cell]  2 Sb 2.07


## B
Compound: SbIrNF2
Source: Alexandria via LeMat-Bulk
Functional: SCAN
Structure: single point on PBEsol structure

Properties
Total magnetic moment ... 0.000 μB per atom
Volume ... 72.85 Å³ per cell

a = 4.4445 Å, b = 4.4445 Å, c = 3.6879 Å
α = 90.00°, β = 90.00°, γ = 90.00°
Last column: nearest neighbours and their distance in Å.
Space group P4/mmm (No. 123)
Unique sites:
Sb1 0.0000 0.0000 0.0000 [1 per cell]  8 F 2.89, 4 N 3.14
Ir1 0.5000 0.5000 0.5000 [1 per cell]  2 N 1.84
N1 0.5000 0.5000 0.0000 [1 per cell]  2 Ir 1.84
F1 0.0000 0.5000 0.5000 [2 per cell]  2 Ir 2.22


Which structure wins on stability? B wins.


## A
Compound: KSeN2F
Source: Alexandria via LeMat-Bulk
Functional: SCAN
Structure: single point on PBEsol structure

Properties
Total magnetic moment ... 0.000 μB per atom
Volume ... 67.78 Å³ per cell

a = 3.7177 Å, b = 3.7177 Å, c = 4.9042 Å
α = 90.00°, β = 90.00°, γ = 90.00°
Last column: nearest neighbours and their distance in Å.
Space group P4/mmm (No. 123)
Unique sites:
K1 0.0000 0.0000 0.0000 [1 per cell]  4 F 2.63
Se1 0.5000 0.5000 0.5000 [1 per cell]  4 N 1.86
N1 0.0000 0.5000 0.5000 [2 per cell]  2 Se 1.86
F1 0.5000 0.5000 0.0000 [1 per cell]  2 Se 2.45, 4 K 2.63


## B
Compound: KSeN2F
Source: Alexandria via LeMat-Bulk
Functional: SCAN
Structure: single point on PBEsol structure

Properties
Total magnetic moment ... 1.600 μB per atom
Volume ... 143.82 Å³ per cell

a = 5.4987 Å, b = 5.4987 Å, c = 4.7566 Å
α = 90.00°, β = 90.00°, γ = 90.00°
Last column: nearest neighbours and their distance in Å.
Space group P4/mmm (No. 123)
Unique sites:
K1 0.0000 0.0000 0.0000 [1 per cell]  2 F 2.38
Se1 0.5000 0.5000 0.5000 [1 per cell]  8 N 3.64, 4 F 3.89
N1 0.0000 0.5000 0.0000 [2 per cell]  2 K 2.75
F1 0.0000 0.0000 0.5000 [1 per cell]  2 K 2.38


Which structure wins on stability? A wins.


## A
Compound: KTlNF2
Source: Alexandria via LeMat-Bulk
Functional: SCAN
Structure: single point on PBEsol structure

Properties
Total magnetic moment ... 0.201 μB per atom
Volume ... 89.03 Å³ per cell

a = 4.6949 Å, b = 4.6949 Å, c = 4.0390 Å
α = 90.00°, β = 90.00°, γ = 90.00°
Last column: nearest neighbours and their distance in Å.
Space group P4/mmm (No. 123)
Unique sites:
K1 0.0000 0.0000 0.0000 [1 per cell]  8 F 3.10, 4 N 3.32
Tl1 0.5000 0.5000 0.5000 [1 per cell]  2 N 2.02
N1 0.5000 0.5000 0.0000 [1 per cell]  2 Tl 2.02
F1 0.0000 0.5000 0.5000 [2 per cell]  2 Tl 2.35


## B
Compound: KTlNF2
Source: Alexandria via LeMat-Bulk
Functional: SCAN
Structure: single point on PBEsol structure

Properties
Total magnetic moment ... 0.609 μB per atom
Volume ... 115.73 Å³ per cell

a = 4.8523 Å, b = 4.8523 Å, c = 4.9152 Å
α = 90.00°, β = 90.00°, γ = 90.00°
Last column: nearest neighbours and their distance in Å.
Space group P4/mmm (No. 123)
Unique sites:
K1 0.0000 0.0000 0.0000 [1 per cell]  4 F 2.43, 2 N 2.46
Tl1 0.5000 0.5000 0.5000 [1 per cell]  4 N 3.43, 8 F 3.45
N1 0.0000 0.0000 0.5000 [1 per cell]  2 K 2.46
F1 0.0000 0.5000 0.0000 [2 per cell]  2 K 2.43


Which structure wins on stability? A wins.